A plane-wave DFT calculation with GGA-PBE was carried out for a geometry-optimized Sm2Hf2MgPt5 structure.

Cell: 3.408 10.936 10.936 Å, 90.00 90.00 90.00°
Fractional positions:
1 Sm 0.000 0.669 0.169
2 Sm 0.000 0.331 0.831
3 Sm 0.000 0.169 0.331
4 Sm 0.000 0.831 0.669
5 Hf 0.000 0.137 0.637
6 Hf 0.000 0.863 0.363
7 Hf 0.000 0.637 0.863
8 Hf 0.000 0.363 0.137
9 Mg 0.000 0.000 0.000
10 Mg 0.000 0.500 0.500
11 Pt 0.500 0.190 0.058
12 Pt 0.500 0.810 0.942
13 Pt 0.500 0.058 0.810
14 Pt 0.500 0.690 0.442
15 Pt 0.500 0.942 0.190
16 Pt 0.500 0.310 0.558
17 Pt 0.500 0.558 0.690
18 Pt 0.500 0.442 0.310
19 Pt 0.500 0.500 0.000
20 Pt 0.500 0.000 0.500

## Properties
DFT formation energy   -0.825 eV per atom
Mass density   13506 kg/m3
E   -6.94 eV per atom
Magnetization   0.000 μB per cell

---

A plane-wave DFT calculation with GGA-PBE was carried out for a geometry-optimized HfMgTcPt structure.

Cell: 4.554 4.554 4.554 Å, 60.00 60.00 60.00°
Fractional positions:
1 Mg 0.500 0.500 0.500
2 Hf 0.000 0.000 0.000
3 Tc 0.250 0.250 0.250
4 Pt 0.750 0.750 0.750

## Properties
DFT formation energy   -0.537 eV per atom
Mass density   12326 kg/m3
E   -7.53 eV per atom
Magnetization   0.000 μB per cell

---

A plane-wave DFT calculation with GGA-PBE was carried out for a geometry-optimized HfMgTi2Pt structure.

Cell: 4.846 4.949 4.846 Å, 90.00 90.00 90.00°
Fractional positions:
1 Mg 0.500 0.500 0.500
2 Hf 0.000 0.000 0.000
3 Pt 0.000 0.500 0.000
4 Ti 0.000 0.000 0.500
5 Ti 0.500 0.000 0.000

## Properties
DFT formation energy   0.776 eV per atom
Mass density   7051 kg/m3
E   -5.90 eV per atom
Magnetization   0.000 μB per cell

---

A plane-wave DFT calculation with GGA-PBE was carried out for a geometry-optimized Y2Hf2MgPt5 structure.

Cell: 3.441 10.797 10.797 Å, 90.00 90.00 90.00°
Fractional positions:
1 Y 0.000 0.668 0.168
2 Y 0.000 0.332 0.832
3 Y 0.000 0.168 0.332
4 Y 0.000 0.832 0.668
5 Hf 0.000 0.137 0.637
6 Hf 0.000 0.863 0.363
7 Hf 0.000 0.637 0.863
8 Hf 0.000 0.363 0.137
9 Mg 0.000 0.000 0.000
10 Mg 0.000 0.500 0.500
11 Pt 0.500 0.194 0.049
12 Pt 0.500 0.806 0.951
13 Pt 0.500 0.049 0.806
14 Pt 0.500 0.694 0.451
15 Pt 0.500 0.951 0.194
16 Pt 0.500 0.306 0.549
17 Pt 0.500 0.549 0.694
18 Pt 0.500 0.451 0.306
19 Pt 0.500 0.500 0.000
20 Pt 0.500 0.000 0.500

## Properties
DFT formation energy   -0.842 eV per atom
Mass density   12705 kg/m3
E   -7.31 eV per atom
Magnetization   0.000 μB per cell

---

A plane-wave DFT calculation with GGA-PBE was carried out for a geometry-optimized Hf2MgZnPt4 structure.

Cell: 4.575 4.575 7.934 Å, 73.24 73.24 60.00°
Fractional positions:
1 Hf 0.751 0.751 0.746
2 Hf 0.249 0.249 0.254
3 Mg 0.000 0.000 0.000
4 Zn 0.500 0.500 0.500
5 Pt 0.374 0.374 0.877
6 Pt 0.875 0.875 0.374
7 Pt 0.125 0.125 0.626
8 Pt 0.626 0.626 0.123

## Properties
DFT formation energy   -0.951 eV per atom
Mass density   15024 kg/m3
E   -6.82 eV per atom
Magnetization   0.000 μB per cell

---

A plane-wave DFT calculation with GGA-PBE was carried out for a geometry-optimized HfMgZnPt structure.

Cell: 4.602 4.602 4.602 Å, 60.00 60.00 60.00°
Fractional positions:
1 Zn 0.250 0.250 0.250
2 Hf 0.000 0.000 0.000
3 Mg 0.500 0.500 0.500
4 Pt 0.750 0.750 0.750

## Properties
DFT formation energy   -0.651 eV per atom
Mass density   11160 kg/m3
E   -5.37 eV per atom
Magnetization   0.000 μB per cell

---

A plane-wave DFT calculation with GGA-PBE was carried out for a geometry-optimized Hf2MgZr2Pt5 structure.

Cell: 3.283 10.902 10.902 Å, 90.00 90.00 90.00°
Fractional positions:
1 Hf 0.000 0.147 0.647
2 Hf 0.000 0.853 0.353
3 Hf 0.000 0.647 0.853
4 Hf 0.000 0.353 0.147
5 Mg 0.000 0.000 0.000
6 Mg 0.000 0.500 0.500
7 Zr 0.000 0.659 0.159
8 Zr 0.000 0.341 0.841
9 Zr 0.000 0.159 0.341
10 Zr 0.000 0.841 0.659
11 Pt 0.500 0.212 0.006
12 Pt 0.500 0.788 0.994
13 Pt 0.500 0.006 0.788
14 Pt 0.500 0.712 0.494
15 Pt 0.500 0.994 0.212
16 Pt 0.500 0.288 0.506
17 Pt 0.500 0.506 0.712
18 Pt 0.500 0.494 0.288
19 Pt 0.500 0.500 0.000
20 Pt 0.500 0.000 0.500

## Properties
DFT formation energy   -0.717 eV per atom
Mass density   13099 kg/m3
E   -7.60 eV per atom
Magnetization   0.000 μB per cell

---

A plane-wave DFT calculation with GGA-PBE was carried out for a geometry-optimized PuHf2Mg structure.

Cell: 4.368 4.552 4.552 Å, 90.00 90.00 90.00°
Fractional positions:
1 Mg 0.500 0.000 0.000
2 Hf 0.000 0.000 0.500
3 Hf 0.000 0.500 0.000
4 Pu 0.500 0.500 0.500

## Properties
DFT formation energy   0.199 eV per atom
Mass density   11473 kg/m3
E   -8.76 eV per atom
Magnetization   5.516 μB per cell

---

A plane-wave DFT calculation with GGA-PBE was carried out for a geometry-optimized PuHf2Mg structure.

Cell: 3.148 3.148 11.396 Å, 82.06 82.06 60.00°
Fractional positions:
1 Mg 0.000 0.000 0.000
2 Hf 0.089 0.089 0.733
3 Hf 0.911 0.911 0.267
4 Pu 0.500 0.500 0.500

## Properties
DFT formation energy   0.371 eV per atom
Mass density   10757 kg/m3
E   -8.59 eV per atom
Magnetization   5.002 μB per cell

---

A plane-wave DFT calculation with GGA-PBE was carried out for a geometry-optimized PuHf2Mg structure.

Cell: 3.226 3.226 8.762 Å, 90.00 90.00 90.00°
Fractional positions:
1 Mg 0.500 0.500 0.500
2 Hf 0.000 0.000 0.749
3 Hf 0.000 0.000 0.251
4 Pu 0.500 0.500 0.000

## Properties
DFT formation energy   0.139 eV per atom
Mass density   11387 kg/m3
E   -8.82 eV per atom
Magnetization   5.097 μB per cell

---

A plane-wave DFT calculation with GGA-PBE was carried out for a geometry-optimized RbHfMg6 structure.

Cell: 6.889 6.889 4.572 Å, 90.00 90.00 90.02°
Fractional positions:
1 Rb 0.126 0.126 0.500
2 Hf 0.625 0.625 0.500
3 Mg 0.123 0.626 0.500
4 Mg 0.626 0.123 0.500
5 Mg 0.408 0.842 0.000
6 Mg 0.842 0.408 0.000
7 Mg 0.408 0.408 0.000
8 Mg 0.842 0.842 0.000

## Properties
DFT formation energy   0.295 eV per atom
Mass density   3136 kg/m3
E   -2.27 eV per atom
Magnetization   0.001 μB per cell

---

A plane-wave DFT calculation with GGA-PBE was carried out for a geometry-optimized RbHf3Mg structure.

Cell: 5.309 5.309 5.309 Å, 90.00 90.00 90.00°
Fractional positions:
1 Mg 0.000 0.000 0.000
2 Hf 0.000 0.500 0.000
3 Hf 0.000 0.000 0.500
4 Hf 0.500 0.000 0.000
5 Rb 0.500 0.500 0.500

## Properties
DFT formation energy   1.568 eV per atom
Mass density   7161 kg/m3
E   -4.92 eV per atom
Magnetization   0.000 μB per cell

---

A plane-wave DFT calculation with GGA-PBE was carried out for a geometry-optimized RbHfMg2 structure.

Cell: 5.510 5.510 5.510 Å, 60.00 60.00 60.00°
Fractional positions:
1 Mg 0.250 0.250 0.250
2 Mg 0.750 0.750 0.750
3 Hf 0.500 0.500 0.500
4 Rb 0.000 0.000 0.000

## Properties
DFT formation energy   0.795 eV per atom
Mass density   4387 kg/m3
E   -2.73 eV per atom
Magnetization   0.000 μB per cell

---

A plane-wave DFT calculation with GGA-PBE was carried out for a geometry-optimized RbHfMg3 structure.

Cell: 5.870 5.870 5.870 Å, 90.00 90.00 90.00°
Fractional positions:
1 Mg 0.000 0.500 0.000
2 Mg 0.000 0.000 0.500
3 Mg 0.500 0.000 0.000
4 Hf 0.000 0.000 0.000
5 Rb 0.500 0.500 0.500

## Properties
DFT formation energy   0.848 eV per atom
Mass density   2766 kg/m3
E   -2.29 eV per atom
Magnetization   1.903 μB per cell

---

A plane-wave DFT calculation with GGA-PBE was carried out for a geometry-optimized RbHf2Mg structure.

Cell: 4.360 4.360 12.383 Å, 79.86 79.86 90.00°
Fractional positions:
1 Mg 0.500 0.500 0.000
2 Mg 0.250 0.750 0.500
3 Hf 0.604 0.125 0.250
4 Hf 0.146 0.625 0.250
5 Hf 0.375 0.396 0.750
6 Hf 0.875 0.854 0.750
7 Rb 0.000 0.000 0.000
8 Rb 0.750 0.250 0.500

## Properties
DFT formation energy   1.173 eV per atom
Mass density   6800 kg/m3
E   -4.44 eV per atom
Magnetization   0.000 μB per cell

---

A plane-wave DFT calculation with GGA-PBE was carried out for a geometry-optimized RbHf3Mg structure.

Cell: 5.073 5.073 5.073 Å, 90.00 90.00 90.00°
Fractional positions:
1 Mg 0.500 0.500 0.500
2 Hf 0.000 0.500 0.000
3 Hf 0.000 0.000 0.500
4 Hf 0.500 0.000 0.000
5 Rb 0.000 0.000 0.000

## Properties
DFT formation energy   2.181 eV per atom
Mass density   8208 kg/m3
E   -4.30 eV per atom
Magnetization   0.000 μB per cell

---

A plane-wave DFT calculation with GGA-PBE was carried out for a geometry-optimized RbHfMg3 structure.

Cell: 5.403 5.403 5.403 Å, 90.00 90.00 90.00°
Fractional positions:
1 Mg 0.000 0.500 0.000
2 Mg 0.000 0.000 0.500
3 Mg 0.500 0.000 0.000
4 Hf 0.500 0.500 0.500
5 Rb 0.000 0.000 0.000

## Properties
DFT formation energy   1.649 eV per atom
Mass density   3546 kg/m3
E   -1.49 eV per atom
Magnetization   0.000 μB per cell

---

A plane-wave DFT calculation with GGA-PBE was carried out for a geometry-optimized RbHfMg6 structure.

Cell: 6.748 6.748 5.244 Å, 90.00 90.00 120.00°
Fractional positions:
1 Rb 0.083 0.917 0.000
2 Hf 0.417 0.583 0.500
3 Mg 0.574 0.898 0.000
4 Mg 0.102 0.426 0.000
5 Mg 0.574 0.426 0.000
6 Mg 0.904 0.558 0.500
7 Mg 0.442 0.096 0.500
8 Mg 0.904 0.096 0.500

## Properties
DFT formation energy   0.300 eV per atom
Mass density   3290 kg/m3
E   -2.26 eV per atom
Magnetization   0.004 μB per cell

---

A plane-wave DFT calculation with GGA-PBE was carried out for a geometry-optimized RbHfMg2 structure.

Cell: 8.789 8.789 7.145 Å, 52.05 52.05 90.00°
Fractional positions:
1 Mg 0.664 0.125 0.250
2 Mg 0.086 0.625 0.250
3 Mg 0.375 0.336 0.750
4 Mg 0.875 0.914 0.750
5 Hf 0.000 0.000 0.000
6 Hf 0.750 0.250 0.500
7 Rb 0.500 0.500 0.000
8 Rb 0.250 0.750 0.500

## Properties
DFT formation energy   1.047 eV per atom
Mass density   3812 kg/m3
E   -2.48 eV per atom
Magnetization   2.037 μB per cell

---

A plane-wave DFT calculation with GGA-PBE was carried out for a geometry-optimized Rb3HfMg2S6 structure.

Cell: 6.684 6.684 7.971 Å, 98.01 98.01 120.00°
Fractional positions:
1 Rb 0.170 0.830 0.500
2 Rb 0.830 0.170 0.500
3 Rb 0.500 0.500 0.500
4 Hf 0.000 0.000 0.000
5 Mg 0.334 0.666 0.000
6 Mg 0.666 0.334 0.000
7 S 0.939 0.616 0.817
8 S 0.739 0.739 0.185
9 S 0.061 0.384 0.183
10 S 0.616 0.939 0.817
11 S 0.261 0.261 0.815
12 S 0.384 0.061 0.183

## Properties
Mass density   3790 kg/m3
Formation energy from raw total energies   -1.26 eV per atom
E   -4.66 eV per atom
Magnetization   0.000 μB per cell